1.
# Ac3Pm4Pt4

Ac3Pm4Pt4 after structural relaxation (PBE-GGA, Alexandria).

size of the total moment = 0.0 μB per formula unit
energy of formation from the pure elements = -867 kJ/mol of formula units

Unit cell a=4.723 b=8.133 c=16.440 alpha=90.00 beta=90.00 gamma=90.00
Space group Immm (No. 71)
Inequivalent atoms, fractional coordinates:
Ac 0.000 0.000 0.000 [2 per cell]
Ac 0.000 0.500 0.104 [4 per cell]
Pm 0.000 0.290 0.327 [8 per cell]
Pt 0.000 0.000 0.212 [4 per cell]
Pt 0.000 0.194 0.500 [4 per cell]


2.
# Y8Al2Hg

Y8Al2Hg after structural relaxation (PBE-GGA, Alexandria).

size of the total moment = 0.0 μB per formula unit
energy of formation from the pure elements = -181 kJ/mol of formula units

Unit cell a=5.030 b=8.397 c=14.581 alpha=90.00 beta=90.00 gamma=90.00
Space group Immm (No. 71)
Inequivalent atoms, fractional coordinates:
Y 0.000 0.000 0.140 [4 per cell]
Y 0.000 0.216 0.339 [8 per cell]
Y 0.000 0.316 0.000 [4 per cell]
Al 0.000 0.500 0.193 [4 per cell]
Hg 0.000 0.500 0.500 [2 per cell]


3.
# TlHg3F7

TlHg3F7 after structural relaxation (PBE-GGA, Alexandria).

energy relative to the elements, uncorrected = -1578 kJ/mol of formula units
size of the total moment = 0.0 μB per formula unit

Unit cell a=7.879 b=8.484 c=6.372 alpha=90.00 beta=116.25 gamma=90.00
Space group C2/m (No. 12)
Inequivalent atoms, fractional coordinates:
Tl 0.000 0.000 0.000 [2 per cell]
Hg 0.000 0.268 0.500 [4 per cell]
Hg 0.000 0.500 0.000 [2 per cell]
F 0.000 0.000 0.500 [2 per cell]
F 0.129 0.500 0.736 [4 per cell]
F 0.153 0.284 0.248 [8 per cell]


4.
# TiCdAgBi2

TiCdAgBi2 after structural relaxation (PBE-GGA, Alexandria).

size of the total moment = 0.0 μB per formula unit
energy of formation from the pure elements = 212 kJ/mol of formula units

Unit cell a=5.351 b=5.351 c=5.438 alpha=90.00 beta=90.00 gamma=90.00
Space group P4/mmm (No. 123)
Inequivalent atoms, fractional coordinates:
Ti 0.000 0.000 0.000 [1 per cell]
Cd 0.000 0.000 0.500 [1 per cell]
Ag 0.500 0.500 0.500 [1 per cell]
Bi 0.000 0.500 0.000 [2 per cell]


5.
# Sr2SnSeO

Sr2SnSeO after structural relaxation (PBE-GGA, Alexandria).

energy relative to the elements, uncorrected = -139 kJ/mol of formula units
size of the total moment = 0.0 μB per formula unit

Unit cell a=5.865 b=5.865 c=5.171 alpha=90.00 beta=90.00 gamma=90.00
Space group P4/mmm (No. 123)
Inequivalent atoms, fractional coordinates:
Sr 0.000 0.500 0.000 [2 per cell]
Sn 0.000 0.000 0.500 [1 per cell]
Se 0.000 0.000 0.000 [1 per cell]
O 0.500 0.500 0.500 [1 per cell]


6.
# TiIn2Ru

TiIn2Ru after structural relaxation (PBE-GGA, Alexandria).

size of the total moment = 0.0 μB per formula unit
distance to the lowest polymorph of the same formula = 8.72 kcal/mol of atoms
energy of formation from the pure elements = 141 kJ/mol of formula units

Unit cell a=7.582 b=7.582 c=5.576 alpha=90.00 beta=90.00 gamma=90.00
Space group I-42d (No. 122)
Inequivalent atoms, fractional coordinates:
Ti 0.000 0.000 0.000 [4 per cell]
In 0.231 0.250 0.625 [8 per cell]
Ru 0.000 0.000 0.500 [4 per cell]


7.
# CePr3Sn3

CePr3Sn3 after structural relaxation (PBE-GGA, Alexandria).

size of the total moment = 0.6 μB per formula unit
energy of formation from the pure elements = -332 kJ/mol of formula units

Unit cell a=7.883 b=10.973 c=10.028 alpha=90.00 beta=90.23 gamma=90.00
Space group C2/m (No. 12)
Inequivalent atoms, fractional coordinates:
Ce 0.165 0.000 0.468 [4 per cell]
Pr 0.000 0.294 0.500 [4 per cell]
Pr 0.000 0.320 0.000 [4 per cell]
Pr 0.075 0.000 0.814 [4 per cell]
Sn 0.012 0.500 0.263 [4 per cell]
Sn 0.236 0.219 0.246 [8 per cell]


8.
# ReTc2Ir

ReTc2Ir after structural relaxation (PBE-GGA, Alexandria).

size of the total moment = 0.0 μB per formula unit
distance to the lowest polymorph of the same formula = 10.34 kcal/mol of atoms
energy of formation from the pure elements = 104 kJ/mol of formula units

Unit cell a=3.276 b=3.276 c=5.602 alpha=90.00 beta=90.00 gamma=90.00
Space group P4mm (No. 99)
Inequivalent atoms, fractional coordinates:
Re 0.000 0.000 0.000 [1 per cell]
Tc 0.000 0.000 0.529 [1 per cell]
Tc 0.500 0.500 0.269 [1 per cell]
Ir 0.500 0.500 0.777 [1 per cell]


9.
# Mg2Tl2SnPb2

Mg2Tl2SnPb2 after structural relaxation (PBE-GGA, Alexandria).

size of the total moment = 0.0 μB per formula unit
energy of formation from the pure elements = 20 kJ/mol of formula units

Unit cell a=16.729 b=3.489 c=7.761 alpha=90.00 beta=117.45 gamma=90.00
Space group C2/m (No. 12)
Inequivalent atoms, fractional coordinates:
Mg 0.211 0.000 0.301 [4 per cell]
Tl 0.078 0.500 0.419 [4 per cell]
Sn 0.000 0.000 0.000 [2 per cell]
Pb 0.148 0.500 0.907 [4 per cell]


10.
# ThSc2Tc

ThSc2Tc after structural relaxation (PBE-GGA, Alexandria).

size of the total moment = 0.0 μB per formula unit
distance to the lowest polymorph of the same formula = 5.56 kcal/mol of atoms
energy of formation from the pure elements = 22 kJ/mol of formula units

Unit cell a=3.3076 b=3.3076 c=29.4011 alpha=90.00 beta=90.00 gamma=120.00
Space group R-3m (No. 166, hexagonal axes)
Inequivalent atoms, fractional coordinates:
Th 0.0000 0.0000 0.0000 [3 per cell]
Sc 0.0000 0.0000 0.2315 [6 per cell]
Tc 0.0000 0.0000 0.5000 [3 per cell]


11.
# InFeP2

InFeP2 after structural relaxation (PBE-GGA, Alexandria).

size of the total moment = 2.4 μB per formula unit
energy of formation from the pure elements = 269 kJ/mol of formula units

Unit cell a=6.399 b=6.399 c=6.399 alpha=90.00 beta=90.00 gamma=90.00
Space group F-43m (No. 216)
Inequivalent atoms, fractional coordinates:
In 0.000 0.000 0.000 [4 per cell]
Fe 0.250 0.250 0.250 [4 per cell]
P 0.000 0.000 0.500 [4 per cell]
P 0.250 0.250 0.750 [4 per cell]


12.
# Be3HgRh

Be3HgRh after structural relaxation (PBE-GGA, Alexandria).

size of the total moment = 0.0 μB per formula unit
distance to the lowest polymorph of the same formula = 16.78 kcal/mol of atoms
energy of formation from the pure elements = 525 kJ/mol of formula units

Unit cell a=4.295 b=4.295 c=4.295 alpha=90.00 beta=90.00 gamma=90.00
Space group Pm-3m (No. 221)
Inequivalent atoms, fractional coordinates:
Be 0.000 0.000 0.500 [3 per cell]
Hg 0.000 0.000 0.000 [1 per cell]
Rh 0.500 0.500 0.500 [1 per cell]